1.
Ac7CdSn5 | PBE | optimized geometry

Cell and atoms, written as POSCAR:
```
Ac7CdSn5
1.0
-0.999 -6.516 1.949
6.790 -3.176 4.986
-4.405 -0.609 7.828
Ac Sn Cd
7 5 1
Direct
0.273 0.727 0.727
0.651 0.349 0.349
0.521 0.148 0.810
0.280 0.220 0.220
0.521 0.810 0.148
0.000 0.673 0.328
0.000 0.328 0.673
0.511 0.998 0.487
0.762 0.738 0.738
0.004 0.998 0.487
0.511 0.487 0.998
0.004 0.487 0.998
0.963 0.037 0.037
```

Calculated formation energy in eV per atom: -0.42
N(E_F) in states/eV/atom: 0.938

***

2.
BeTl2Au | PBE | optimized geometry

Cell and atoms, written as POSCAR:
```
BeTl2Au
1.0
5.605 -0.050 0.000
2.311 5.106 0.000
-3.958 -2.528 3.059
Au Be Tl
1 1 2
Direct
0.500 0.500 0.000
0.750 0.250 0.500
0.250 0.750 0.500
0.000 0.000 0.000
```

Calculated formation energy in eV per atom: 0.50
Distance to the lowest polymorph of the same formula in eV per atom: 0.409
N(E_F) in states/eV/atom: 0.297